Compound: TbCo2GeP
Source: OQMD via LeMat-Bulk
Functional: PBE
Structure: optimized geometry

a = 5.600 Å, b = 5.600 Å, c = 5.600 Å
α = 139.08°, β = 139.08°, γ = 59.25°
Sites, in units of the cell vectors:
Co: 0.743 0.243 0.500
Co: 0.243 0.743 0.500
Ge: 0.375 0.375 0.000
P: 0.635 0.635 0.000
Tb: 0.005 0.005 0.000

Output
As for the total moment: 0.2121 μB/atom. The value obtained for the total energy is -33.0 eV/f.u. Its mass density is 8.467 g cm⁻³.


Compound: CdCuTcPb
Source: OQMD via LeMat-Bulk
Functional: PBE
Structure: optimized geometry

a = 4.667 Å, b = 4.667 Å, c = 4.667 Å
α = 60.00°, β = 60.00°, γ = 60.00°
Sites, in units of the cell vectors:
Cd: 0.500 0.500 0.500
Cu: 0.750 0.750 0.750
Pb: 0.000 0.000 0.000
Tc: 0.250 0.250 0.250

Output
Its polymorph energy (0 for the lowest one) is 0.000 eV/atom. As for the total moment: 0.0000 μB/atom. The value obtained for the total energy is -16.4 eV/f.u. Its mass density is 11.116 g cm⁻³.


Compound: GeAsPd
Source: OQMD via LeMat-Bulk
Functional: PBE
Structure: optimized geometry

a = 4.359 Å, b = 4.359 Å, c = 4.359 Å
α = 60.00°, β = 60.00°, γ = 60.00°
Sites, in units of the cell vectors:
As: 0.250 0.250 0.250
Ge: 0.000 0.000 0.000
Pd: 0.750 0.750 0.750

Output
Its polymorph energy (0 for the lowest one) is 0.252 eV/atom. The value obtained for the total energy is -14.3 eV/f.u. Its mass density is 7.203 g cm⁻³.


Compound: RbPmFe
Source: OQMD via LeMat-Bulk
Functional: PBE
Structure: optimized geometry

a = 5.016 Å, b = 5.016 Å, c = 5.016 Å
α = 60.00°, β = 60.00°, γ = 60.00°
Sites, in units of the cell vectors:
Fe: 0.250 0.250 0.250
Pm: 0.000 0.000 0.000
Rb: 0.750 0.750 0.750

Output
As for the total moment: 0.5449 μB/atom. The value obtained for the total energy is -9.6 eV/f.u. Its mass density is 5.327 g cm⁻³.


Compound: Y4CdNiN2
Source: OQMD via LeMat-Bulk
Functional: PBE
Structure: optimized geometry

a = 3.518 Å, b = 3.518 Å, c = 14.778 Å
α = 90.00°, β = 90.00°, γ = 120.00°
Sites, in units of the cell vectors:
Cd: 0.000 0.000 0.000
N: 0.667 0.333 0.265
N: 0.667 0.333 0.735
Ni: 0.333 0.667 0.500
Y: 0.333 0.667 0.181
Y: 0.000 0.000 0.368
Y: 0.000 0.000 0.632
Y: 0.333 0.667 0.819

Output
As for the total moment: 0.0873 μB/atom. The value obtained for the total energy is -55.8 eV/f.u. Its mass density is 5.815 g cm⁻³.


Compound: AlCdFeSe4
Source: OQMD via LeMat-Bulk
Functional: PBE
Structure: optimized geometry

a = 7.590 Å, b = 7.590 Å, c = 10.670 Å
α = 90.00°, β = 90.00°, γ = 90.00°
Sites, in units of the cell vectors:
Al: 0.500 0.751 0.000
Al: 0.249 0.500 0.250
Al: 0.500 0.249 0.500
Al: 0.751 0.500 0.750
Cd: 0.755 0.245 0.125
Cd: 0.755 0.755 0.375
Cd: 0.245 0.755 0.625
Cd: 0.245 0.245 0.875
Fe: 0.000 0.755 0.000
Fe: 0.245 0.000 0.250
Fe: 0.000 0.245 0.500
Fe: 0.755 0.000 0.750
Se: 0.238 0.536 0.008
Se: 0.239 0.968 0.022
Se: 0.032 0.761 0.228
Se: 0.464 0.762 0.242
Se: 0.464 0.238 0.258
Se: 0.032 0.239 0.272
Se: 0.239 0.032 0.478
Se: 0.238 0.464 0.492
Se: 0.762 0.464 0.508
Se: 0.761 0.032 0.522
Se: 0.968 0.239 0.728
Se: 0.536 0.238 0.742
Se: 0.536 0.762 0.758
Se: 0.968 0.761 0.772
Se: 0.761 0.968 0.978
Se: 0.762 0.536 0.992

Output
Its polymorph energy (0 for the lowest one) is 0.000 eV/atom. As for the total moment: 0.1434 μB/atom. The value obtained for the total energy is -30.4 eV/f.u. Its mass density is 5.522 g cm⁻³.


Compound: RbGdTeO
Source: OQMD via LeMat-Bulk
Functional: PBE
Structure: optimized geometry

a = 3.926 Å, b = 3.926 Å, c = 15.510 Å
α = 90.00°, β = 90.00°, γ = 120.00°
Sites, in units of the cell vectors:
Gd: 0.000 0.000 0.030
Gd: 0.000 0.000 0.530
O: 0.333 0.667 0.090
O: 0.667 0.333 0.590
Rb: 0.667 0.333 0.232
Rb: 0.333 0.667 0.732
Te: 0.333 0.667 0.399
Te: 0.667 0.333 0.899

Output
Its polymorph energy (0 for the lowest one) is 0.323 eV/atom. As for the total moment: 0.0012 μB/atom. The value obtained for the total energy is -20.9 eV/f.u. Its mass density is 6.197 g cm⁻³.


Compound: LaTcNO
Source: OQMD via LeMat-Bulk
Functional: PBE
Structure: optimized geometry

a = 3.819 Å, b = 3.819 Å, c = 8.262 Å
α = 90.00°, β = 90.00°, γ = 90.00°
Sites, in units of the cell vectors:
La: 0.000 0.500 0.160
La: 0.500 0.000 0.840
N: 0.500 0.000 0.384
N: 0.000 0.500 0.616
O: 0.000 0.000 0.000
O: 0.500 0.500 0.000
Tc: 0.000 0.000 0.500
Tc: 0.500 0.500 0.500

Output
Its polymorph energy (0 for the lowest one) is 0.000 eV/atom. As for the total moment: 0.0029 μB/atom. The value obtained for the total energy is -34.4 eV/f.u. Its mass density is 7.358 g cm⁻³.